No. 1
! Ca2MoAsO | Alexandria via LeMat-Bulk | GGA+U | optimized geometry; values from VASP
&SYSTEM
  ibrav = 0, nat = 5, ntyp = 4
/
ATOMIC_SPECIES
Mo 95.94 Mo.upf
Ca 40.08 Ca.upf
As 74.92 As.upf
O 16.00 O.upf
ATOMIC_POSITIONS angstrom
Mo 0.0000 2.5004 0.0000
Ca 0.0000 0.0000 2.7684
Ca 2.7684 0.0000 0.0000
As 0.0000 0.0000 0.0000
O 2.7684 2.5004 2.7684
CELL_PARAMETERS angstrom
5.5368 0.0000 0.0000
0.0000 5.0008 0.0000
0.0000 0.0000 5.5368
! Theoretical density in g cm⁻³: 2.892
! Spin magnetization in μB/f.u.: 4.9
! SG: P4/mmm (123)
! DFT total energy in eV per atom: -4.090

=====

No. 2
! CaMoAsO2 | Alexandria via LeMat-Bulk | GGA+U | optimized geometry; values from VASP
&SYSTEM
  ibrav = 0, nat = 5, ntyp = 4
/
ATOMIC_SPECIES
Mo 95.94 Mo.upf
Ca 40.08 Ca.upf
As 74.92 As.upf
O 16.00 O.upf
ATOMIC_POSITIONS angstrom
Mo 0.0000 2.4690 0.0000
Ca 2.1643 2.4690 2.1643
As 0.0000 0.0000 0.0000
O 0.0000 0.0000 2.1643
O 2.1643 0.0000 0.0000
CELL_PARAMETERS angstrom
4.3286 0.0000 0.0000
0.0000 4.9380 0.0000
0.0000 0.0000 4.3286
! Theoretical density in g cm⁻³: 4.360
! Spin magnetization in μB/f.u.: 4.9
! SG: P4/mmm (123)
! DFT total energy in eV per atom: -4.779

=====

No. 3
! CaMoAsO6 | Alexandria via LeMat-Bulk | GGA+U | optimized geometry; values from VASP
&SYSTEM
  ibrav = 0, nat = 18, ntyp = 4
/
ATOMIC_SPECIES
Ca 40.08 Ca.upf
Mo 95.94 Mo.upf
As 74.92 As.upf
O 16.00 O.upf
ATOMIC_POSITIONS angstrom
Ca -5.7438 0.0821 -0.6993
Ca -8.1142 3.3103 3.5001
Mo -3.0090 -1.0336 -1.8789
Mo -5.3795 2.1947 2.3205
As -8.4907 1.2028 0.4856
As -2.7297 1.1136 1.1775
O -5.8734 -1.7184 0.5461
O -5.5140 1.8417 -1.9878
O -9.1688 2.2671 1.8849
O -10.3500 1.1735 0.1809
O -3.4132 -2.4859 -0.6667
O -3.0996 0.6205 -2.8777
O -6.5907 1.4031 1.0366
O -8.0534 0.0489 -1.0735
O -8.2044 2.6142 -0.6187
O -8.5007 -0.3214 1.4708
O -5.0712 -1.2385 -2.4593
O -3.5025 0.2139 -0.1962
CELL_PARAMETERS angstrom
-1.4195 1.1621 -4.3899
-1.9710 -4.3012 -0.5013
-8.1314 3.3174 3.5075
! Theoretical density in g cm⁻³: 4.762
! Spin magnetization in μB/f.u.: 1.0
! SG: P4_2nm (102)
! DFT total energy in eV per atom: -6.569